# 1
Zr2AlZn (GGA-PBE, relaxed); SG = Pmm2; formation energy from the elements = -2.86 kcal/mol of atoms
1.0
-1.5233 2.2250 -1.7172
-3.5748 -0.9626 1.9240
1.1729 4.0477 4.2041
Zn Al Zr
1 1 2
Direct
0.5000 0.5000 0.7527 Zn
0.0000 0.0000 0.4945 Al
0.0000 0.0000 0.9916 Zr
0.5000 0.5000 0.2611 Zr

# 2
VCoHg3 (GGA-PBE, relaxed); energy relative to the lowest polymorph listed for this composition = 0 meV per atom; SG = Pm-3m; formation energy from the elements = 19.16 kcal/mol of atoms
1.0
-2.7327 0.4579 -4.0564
1.8076 -4.2410 -1.6965
-3.6601 -2.4363 2.1907
Co Hg V
1 3 1
Direct
0.0000 0.0000 0.0000 Co
0.0000 0.5000 0.0000 Hg
0.0000 0.0000 0.5000 Hg
0.5000 0.0000 0.0000 Hg
0.5000 0.5000 0.5000 V

# 3
Ti7Sn3C2 (GGA-PBE, relaxed); SG = Cmmm; formation energy from the elements = -7.85 kcal/mol of atoms
1.0
-0.7943 -3.9594 -0.8894
-0.8795 -0.7169 3.9769
-10.5914 3.0130 -3.9541
Ti Sn C
7 3 2
Direct
0.5000 0.7029 0.4039 Ti
0.5000 0.2971 0.5961 Ti
0.0000 0.5969 0.1937 Ti
0.0000 0.0000 0.0000 Ti
0.0000 0.4031 0.8063 Ti
0.5000 0.9033 0.8066 Ti
0.5000 0.0967 0.1934 Ti
0.5000 0.5000 0.0000 Sn
0.0000 0.1946 0.3883 Sn
0.0000 0.8054 0.6117 Sn
0.5000 0.6127 0.2257 C
0.5000 0.3873 0.7743 C